! Mn2TlC2O6 PBE+U relaxed; values from VASP
! * E: -7.23 eV per atom
! * volume: 14.31 A^3/atom
&SYSTEM
  ibrav = 0, nat = 11, ntyp = 4
/
ATOMIC_SPECIES
Mn 54.94 Mn.upf
Tl 204.38 Tl.upf
C 12.01 C.upf
O 16.00 O.upf
CELL_PARAMETERS angstrom
5.322 0.000 0.000
0.240 5.584 0.000
1.843 2.611 5.299
ATOMIC_POSITIONS angstrom
Mn 1.388 1.881 0.020
Mn 6.016 6.314 5.278
Tl 1.041 4.098 2.649
C 3.332 7.357 4.178
C 4.072 0.838 1.121
O 2.044 7.306 4.100
O 3.724 2.880 4.005
O 4.015 6.259 4.440
O 3.389 1.936 0.858
O 3.680 5.315 1.294
O 5.360 0.890 1.199